An optimized crystal structure of NiP2SBr, computed with GGA-PBE.

The structure in CIF format:
```
data_NiP2SBr
_cell_length_a 4.5658
_cell_length_b 4.5658
_cell_length_c 4.3849
_cell_angle_alpha 90.00
_cell_angle_beta 90.00
_cell_angle_gamma 90.00
_symmetry_space_group_name_H-M 'P 4/m m m'
_symmetry_Int_Tables_number 123
_symmetry_space_group_name_Hall '-P 4 2'
loop_
_atom_site_label
_atom_site_fract_x
_atom_site_fract_y
_atom_site_fract_z
Ni1 0.0000 0.0000 0.0000
P1 0.0000 0.5000 0.0000
S1 0.0000 0.0000 0.5000
Br1 0.5000 0.5000 0.5000
```

## Properties
DOS(E_F) = 6.43 states/eV/f.u.
density = 4.23 g cm⁻³
VASP energy = -19.0 eV/f.u.
total moment = 0.44 μB per cell
energy above the most stable polymorph in this dataset = 0 meV/atom
formation energy without anion corrections = 0.674 eV/atom

---

An optimized crystal structure of UIn2PbI8, computed with GGA-PBE.

The structure in CIF format:
```
data_UIn2PbI8
_cell_length_a 7.5635
_cell_length_b 9.4299
_cell_length_c 8.1027
_cell_angle_alpha 90.00
_cell_angle_beta 91.50
_cell_angle_gamma 90.00
_symmetry_space_group_name_H-M 'P 1 2/m 1'
_symmetry_Int_Tables_number 10
_symmetry_space_group_name_Hall '-P 2y'
loop_
_atom_site_label
_atom_site_fract_x
_atom_site_fract_y
_atom_site_fract_z
U1 0.0000 0.0000 0.0000
In1 0.5000 0.2554 0.5000
Pb1 0.0000 0.5000 0.0000
I1 0.2131 0.0000 0.3140
I2 0.2350 0.2335 0.8617
I3 0.2496 0.5000 0.3293
```

## Properties
DOS(E_F) = 10.60 states/eV/f.u.
density = 4.86 g cm⁻³
VASP energy = -40.5 eV/f.u.
total moment = 2.00 μB per cell
formation energy without anion corrections = -0.632 eV/atom

---

An optimized crystal structure of Rb2CrInCl6, computed with GGA-PBE.

The structure in CIF format:
```
data_Rb2CrInCl6
_cell_length_a 10.6524
_cell_length_b 10.6524
_cell_length_c 10.6524
_cell_angle_alpha 90.00
_cell_angle_beta 90.00
_cell_angle_gamma 90.00
_symmetry_space_group_name_H-M 'F m -3 m'
_symmetry_Int_Tables_number 225
_symmetry_space_group_name_Hall '-F 4 2 3'
loop_
_atom_site_label
_atom_site_fract_x
_atom_site_fract_y
_atom_site_fract_z
Rb1 0.2500 0.2500 0.2500
Cr1 0.0000 0.0000 0.0000
In1 0.0000 0.0000 0.5000
Cl1 0.0000 0.0000 0.2235
```

## Properties
density = 3.02 g cm⁻³
VASP energy = -39.5 eV/f.u.
total moment = 11.97 μB per cell
formation energy without anion corrections = -1.415 eV/atom

---

An optimized crystal structure of RbTaSe2S, computed with GGA-PBE.

The structure in CIF format:
```
data_RbTaSe2S
_cell_length_a 5.1622
_cell_length_b 5.1622
_cell_length_c 4.8487
_cell_angle_alpha 90.00
_cell_angle_beta 90.00
_cell_angle_gamma 90.00
_symmetry_space_group_name_H-M 'P 4/m m m'
_symmetry_Int_Tables_number 123
_symmetry_space_group_name_Hall '-P 4 2'
loop_
_atom_site_label
_atom_site_fract_x
_atom_site_fract_y
_atom_site_fract_z
Rb1 0.0000 0.0000 0.0000
Ta1 0.5000 0.5000 0.5000
Se1 0.0000 0.5000 0.5000
S1 0.5000 0.5000 0.0000
```

## Properties
DOS(E_F) = 1.39 states/eV/f.u.
density = 5.87 g cm⁻³
VASP energy = -28.2 eV/f.u.
total moment = 0.00 μB per cell
formation energy without anion corrections = -0.847 eV/atom

---

An optimized crystal structure of Lu2MgPb, computed with GGA-PBE.

The structure in CIF format:
```
data_Lu2MgPb
_cell_length_a 4.8071
_cell_length_b 4.8071
_cell_length_c 4.4753
_cell_angle_alpha 90.00
_cell_angle_beta 90.00
_cell_angle_gamma 90.00
_symmetry_space_group_name_H-M 'P 4/m m m'
_symmetry_Int_Tables_number 123
_symmetry_space_group_name_Hall '-P 4 2'
loop_
_atom_site_label
_atom_site_fract_x
_atom_site_fract_y
_atom_site_fract_z
Lu1 0.0000 0.5000 0.0000
Mg1 0.0000 0.0000 0.5000
Pb1 0.5000 0.5000 0.5000
```

## Properties
DOS(E_F) = 2.95 states/eV/f.u.
formation energy from the elements = -0.25 eV per atom
density = 9.34 g cm⁻³
VASP energy = -15.3 eV/f.u.
total moment = 0.00 μB per cell

---

An optimized crystal structure of La2EuRh, computed with GGA-PBE.

The structure in CIF format:
```
data_La2EuRh
_cell_length_a 4.1258
_cell_length_b 4.1258
_cell_length_c 29.3756
_cell_angle_alpha 90.00
_cell_angle_beta 90.00
_cell_angle_gamma 120.00
_symmetry_space_group_name_H-M 'R -3 m'
_symmetry_Int_Tables_number 166
_symmetry_space_group_name_Hall '-R 3 2"'
loop_
_atom_site_label
_atom_site_fract_x
_atom_site_fract_y
_atom_site_fract_z
La1 0.0000 0.0000 0.2209
Eu1 0.0000 0.0000 0.0000
Rh1 0.0000 0.0000 0.5000
```

## Properties
DOS(E_F) = 4.04 states/eV/f.u.
formation energy from the elements = -0.41 eV per atom
density = 6.13 g cm⁻³
VASP energy = -29.1 eV/f.u.
total moment = 23.90 μB per cell
energy above the most stable polymorph in this dataset = 0 meV/atom